DFT (PBE-GGA) results for crystalline CaPb3Se at its relaxed geometry.

Structure (CIF):
```
data_CaPb3Se
_chemical_formula_sum 'Ca1 Pb3 Se1'
_space_group_name_H-M_alt 'P m -3 m'
_space_group_IT_number 221
_space_group_name_Hall '-P 4 2 3'
_cell_length_a 5.715
_cell_length_b 5.715
_cell_length_c 5.715
_cell_angle_alpha 90.00
_cell_angle_beta 90.00
_cell_angle_gamma 90.00
loop_
_atom_site_label
_atom_site_fract_x
_atom_site_fract_y
_atom_site_fract_z
_atom_site_occupancy
Ca1 0.000 0.000 0.000 1
Pb1 0.000 0.500 0.500 1
Se1 0.500 0.500 0.500 1
```

Results
formation energy from raw total energies: 6 kJ/mol of formula units
energy relative to the lowest polymorph listed for this composition: 0.000 eV per atom

---

DFT (PBE-GGA) results for crystalline BaTa2Mn at its relaxed geometry.

Structure (CIF):
```
data_BaTa2Mn
_chemical_formula_sum 'Ba2 Ta4 Mn2'
_space_group_name_H-M_alt 'I m m m'
_space_group_IT_number 71
_space_group_name_Hall '-I 2 2'
_cell_length_a 2.992
_cell_length_b 5.478
_cell_length_c 10.661
_cell_angle_alpha 90.00
_cell_angle_beta 90.00
_cell_angle_gamma 90.00
loop_
_atom_site_label
_atom_site_fract_x
_atom_site_fract_y
_atom_site_fract_z
_atom_site_occupancy
Ba1 0.000 0.000 0.000 1
Ta1 0.000 0.500 0.196 1
Mn1 0.000 0.000 0.500 1
```

Results
energy relative to the lowest polymorph listed for this composition: 0.339 eV per atom
E_form: 21.02 kcal/mol of atoms

---

DFT (PBE-GGA) results for crystalline BiTe2Cl at its relaxed geometry.

Structure (CIF):
```
data_BiTe2Cl
_chemical_formula_sum 'Bi3 Te6 Cl3'
_space_group_name_H-M_alt 'R -3 m'
_space_group_IT_number 166
_space_group_name_Hall '-R 3 2"'
_cell_length_a 4.6406
_cell_length_b 4.6406
_cell_length_c 26.1708
_cell_angle_alpha 90.00
_cell_angle_beta 90.00
_cell_angle_gamma 120.00
loop_
_atom_site_label
_atom_site_fract_x
_atom_site_fract_y
_atom_site_fract_z
_atom_site_occupancy
Bi1 0.0000 0.0000 0.0000 1
Te1 0.0000 0.0000 0.3984 1
Cl1 0.0000 0.0000 0.5000 1
```

Results
formation energy from raw total energies: -57 kJ/mol of formula units
energy relative to the lowest polymorph listed for this composition: 0.142 eV per atom

---

DFT (PBE-GGA) results for crystalline Ba2TlGa3Ag4 at its relaxed geometry.

Structure (CIF):
```
data_Ba2TlGa3Ag4
_chemical_formula_sum 'Ba2 Tl1 Ga3 Ag4'
_space_group_name_H-M_alt 'P -4 m 2'
_space_group_IT_number 115
_cell_length_a 4.742
_cell_length_b 4.742
_cell_length_c 11.265
_cell_angle_alpha 90.00
_cell_angle_beta 90.00
_cell_angle_gamma 90.00
loop_
_space_group_symop_operation_xyz
'x,y,z'
'y,-x,-z'
'-x,-y,z'
'-y,x,-z'
'-x,y,z'
'-y,-x,-z'
'x,-y,z'
'y,x,-z'
loop_
_atom_site_label
_atom_site_fract_x
_atom_site_fract_y
_atom_site_fract_z
_atom_site_occupancy
Ba1 0.000 0.500 0.242 1
Tl1 0.000 0.000 0.500 1
Ga1 0.000 0.500 0.885 1
Ga2 0.500 0.500 0.500 1
Ag1 0.000 0.000 0.000 1
Ag2 0.000 0.500 0.647 1
Ag3 0.500 0.500 0.000 1
```

Results
E_form: -5.80 kcal/mol of atoms

---

DFT (PBE-GGA) results for crystalline KMgTeO4 at its relaxed geometry.

Structure (CIF):
```
data_KMgTeO4
_chemical_formula_sum 'K2 Mg2 Te2 O8'
_space_group_name_H-M_alt 'P 1 21/m 1'
_space_group_IT_number 11
_cell_length_a 5.786
_cell_length_b 5.861
_cell_length_c 7.722
_cell_angle_alpha 90.00
_cell_angle_beta 108.61
_cell_angle_gamma 90.00
loop_
_space_group_symop_operation_xyz
'x,y,z'
'-x,-y,-z'
'-x,y+1/2,-z'
'x,-y+1/2,z'
loop_
_atom_site_label
_atom_site_fract_x
_atom_site_fract_y
_atom_site_fract_z
_atom_site_occupancy
K1 0.057 0.250 0.155 1
Mg1 0.161 0.750 0.468 1
Te1 0.420 0.250 0.690 1
O1 0.174 0.014 0.654 1
O2 0.214 0.750 0.208 1
O3 0.450 0.250 0.456 1
```

Results
formation energy from raw total energies: -1039 kJ/mol of formula units

---

DFT (PBE-GGA) results for crystalline Tb4NdIn at its relaxed geometry.

Structure (CIF):
```
data_Tb4NdIn
_chemical_formula_sum 'Tb16 Nd4 In4'
_space_group_name_H-M_alt 'C m c 21'
_space_group_IT_number 36
_cell_length_a 4.882
_cell_length_b 14.959
_cell_length_c 9.969
_cell_angle_alpha 90.00
_cell_angle_beta 90.00
_cell_angle_gamma 90.00
loop_
_space_group_symop_operation_xyz
'x,y,z'
'-x,-y,z+1/2'
'-x,y,z'
'x,-y,z+1/2'
'x+1/2,y+1/2,z'
'-x+1/2,-y+1/2,z+1/2'
'-x+1/2,y+1/2,z'
'x+1/2,-y+1/2,z+1/2'
loop_
_atom_site_label
_atom_site_fract_x
_atom_site_fract_y
_atom_site_fract_z
_atom_site_occupancy
Tb1 0.000 0.002 0.000 1
Tb2 0.000 0.174 0.250 1
Tb3 0.000 0.333 0.505 1
Tb4 0.000 0.495 0.250 1
Nd1 0.000 0.332 0.995 1
In1 0.000 0.165 0.752 1
```

Results
energy relative to the lowest polymorph listed for this composition: 0.013 eV per atom
E_form: -3.08 kcal/mol of atoms

---

DFT (PBE-GGA) results for crystalline NaHgS2Cl at its relaxed geometry.

Structure (CIF):
```
data_NaHgS2Cl
_chemical_formula_sum 'Na1 Hg1 S2 Cl1'
_space_group_name_H-M_alt 'P 4/m m m'
_space_group_IT_number 123
_space_group_name_Hall '-P 4 2'
_cell_length_a 4.976
_cell_length_b 4.976
_cell_length_c 5.774
_cell_angle_alpha 90.00
_cell_angle_beta 90.00
_cell_angle_gamma 90.00
loop_
_atom_site_label
_atom_site_fract_x
_atom_site_fract_y
_atom_site_fract_z
_atom_site_occupancy
Na1 0.000 0.000 0.000 1
Hg1 0.500 0.500 0.500 1
S1 0.000 0.500 0.500 1
Cl1 0.500 0.500 0.000 1
```

Results
formation energy from raw total energies: -24 kJ/mol of formula units
energy relative to the lowest polymorph listed for this composition: 0.000 eV per atom

---

DFT (PBE-GGA) results for crystalline AgHgSe2 at its relaxed geometry.

Structure (CIF):
```
data_AgHgSe2
_chemical_formula_sum 'Ag4 Hg4 Se8'
_space_group_name_H-M_alt 'F -4 3 m'
_space_group_IT_number 216
_space_group_name_Hall 'F -4 2 3'
_cell_length_a 7.016
_cell_length_b 7.016
_cell_length_c 7.016
_cell_angle_alpha 90.00
_cell_angle_beta 90.00
_cell_angle_gamma 90.00
loop_
_atom_site_label
_atom_site_fract_x
_atom_site_fract_y
_atom_site_fract_z
_atom_site_occupancy
Ag1 0.000 0.000 0.000 1
Hg1 0.250 0.250 0.750 1
Se1 0.000 0.000 0.500 1
Se2 0.250 0.250 0.250 1
```

Results
formation energy from raw total energies: 136 kJ/mol of formula units

---

Going through the records in order, we get ρ values of 6587, 10535, 5099, 7339, 3412, 8163, 3753, 8970 kg/m3.
Going through the records in order, we get total magnetization values of 0.00, 0.31, 0.00, 0.00, 0.12, 0.00, 0.23, 0.00 μB per atom.